The following is a PBE+U calculation of a relaxed InGeMoO6 crystal, from Alexandria.

Values from the calculation:
* D(E_F): 0.00 states/eV per cell
* E: -117.0 eV per cell
* M_tot: 1.00 μB per formula unit

Unit cell a=4.6852 b=4.6852 c=9.4557 alpha=90.00 beta=90.00 gamma=90.00
Last column: nearest neighbours and their distance in Å.
Positions (direct):
In 0.5000 0.5000 0.1678  6 O 2.12-2.20
In 0.0000 0.0000 0.6678  6 O 2.12-2.20
Ge 0.5000 0.5000 0.8334  6 O 1.91-1.96
Ge 0.0000 0.0000 0.3334  6 O 1.91-1.96
Mo 0.5000 0.5000 0.5014  6 O 1.97-2.05
Mo 0.0000 0.0000 0.0014  6 O 1.97-2.05
O 0.2035 0.7965 0.4842  1 Ge 1.96, 1 Mo 1.97
O 0.7965 0.2035 0.4842  1 Ge 1.96, 1 Mo 1.97
O 0.2965 0.2965 0.9842  1 Ge 1.96, 1 Mo 1.97
O 0.7035 0.7035 0.9842  1 Ge 1.96, 1 Mo 1.97
O 0.1802 0.8198 0.1713  1 Ge 1.94, 1 Mo 2.00, 1 In 2.12
O 0.8198 0.1802 0.1713  1 Ge 1.94, 1 Mo 2.00, 1 In 2.12
O 0.3198 0.3198 0.6713  1 Ge 1.94, 1 Mo 2.00, 1 In 2.12
O 0.6802 0.6802 0.6713  1 Ge 1.94, 1 Mo 2.00, 1 In 2.12
O 0.7883 0.2117 0.8432  1 Ge 1.91, 1 Mo 2.05
O 0.2117 0.7883 0.8432  1 Ge 1.91, 1 Mo 2.05
O 0.7117 0.7117 0.3432  1 Ge 1.91, 1 Mo 2.05
O 0.2883 0.2883 0.3432  1 Ge 1.91, 1 Mo 2.05